Record 1
Li7In2Pb: optimized geometry, PBE.

Cell and atoms, written as extended XYZ:
```
10
Lattice="4.752 0.000 0.000 -2.376 4.116 0.000 0.000 0.000 10.082" Properties=species:S:1:pos:R:3 pbc="T T T"
Li 0.000 0.000 0.000
Li 0.000 0.000 2.421
Li 0.000 0.000 7.639
Li 0.000 2.744 4.415
Li 0.000 2.744 7.929
Li 2.376 1.372 3.087
Li 2.376 1.372 6.154
In 0.000 0.000 5.033
In 2.376 1.372 9.180
Pb 0.000 2.744 1.176
```

Results
As for the total energy: -2.4238 eV per atom. The magnetization comes out at 0.000 μB per formula unit. Its formation energy is -16.0 kJ/mol of atoms. As for the symmetry: P3m1.


Record 2
Cd6SnHg10: optimized geometry, PBE.

Cell and atoms, written as extended XYZ:
```
17
Lattice="8.673 0.000 0.000 -4.337 7.511 0.000 0.000 0.000 6.640" Properties=species:S:1:pos:R:3 pbc="T T T"
Cd -1.675 2.902 1.947
Cd -2.661 4.610 4.693
Cd 3.351 0.000 1.947
Cd 1.675 2.902 4.693
Cd 5.323 0.000 4.693
Cd 2.661 4.610 1.947
Sn 0.000 0.000 3.320
Hg -1.155 2.000 5.441
Hg -3.182 5.511 1.199
Hg 2.310 0.000 5.441
Hg 1.155 2.000 1.199
Hg 0.000 5.008 0.000
Hg 0.000 5.008 3.320
Hg 4.337 2.504 0.000
Hg 4.337 2.504 3.320
Hg 6.363 0.000 1.199
Hg 3.182 5.511 5.441
```

Results
As for the total energy: -0.6861 eV per atom. The magnetization comes out at 0.000 μB per formula unit. Its formation energy is 4.8 kJ/mol of atoms. As for the symmetry: P-31m.


Record 3
LaTlIn2Ru: optimized geometry, PBE.

Cell and atoms, written as extended XYZ:
```
5
Lattice="5.286 0.000 0.000 0.000 5.286 0.000 0.000 0.000 5.193" Properties=species:S:1:pos:R:3 pbc="T T T"
La 0.000 0.000 0.000
Tl 2.643 2.643 0.000
In 0.000 2.643 2.597
In 2.643 0.000 2.597
Ru 0.000 0.000 2.597
```

Results
As for the total energy: -4.6358 eV per atom. The magnetization comes out at 0.000 μB per formula unit. Its formation energy is -21.9 kJ/mol of atoms. As for the symmetry: P4/mmm.


Record 4
Pm2Tl3PbS6: optimized geometry, PBE.

Cell and atoms, written as extended XYZ:
```
12
Lattice="3.631 -6.297 0.000 3.631 6.297 0.000 -2.380 0.000 7.247" Properties=species:S:1:pos:R:3 pbc="T T T"
Pm 3.631 4.189 0.000
Pm 3.631 -4.189 0.000
Tl -1.190 0.000 3.623
Tl 2.441 2.099 3.623
Tl 2.441 -2.099 3.623
Pb 3.631 0.000 0.000
S -0.016 2.192 5.686
S 1.108 0.000 1.543
S -0.016 -2.192 5.686
S 4.898 2.192 1.560
S 3.773 0.000 5.703
S 4.898 -2.192 1.560
```

Results
As for the total energy: -4.8224 eV per atom. The magnetization comes out at 0.000 μB per formula unit. The calculation puts the formation energy (no corrections) at -1066 meV per atom. As for the symmetry: C2/m.


Record 5
TaTc2HPd: optimized geometry, PBE.

Cell and atoms, written as extended XYZ:
```
5
Lattice="3.951 0.000 0.000 0.000 3.951 0.000 0.000 0.000 4.077" Properties=species:S:1:pos:R:3 pbc="T T T"
Ta 0.000 0.000 0.000
Tc 0.000 1.976 2.039
Tc 1.976 0.000 2.039
H 0.000 0.000 2.039
Pd 1.976 1.976 0.000
```

Results
As for the total energy: -8.3579 eV per atom. The magnetization comes out at 0.000 μB per formula unit. The energy above the most stable polymorph in this dataset is 1 kJ/mol of formula units. As for the symmetry: P4/mmm.


Record 6
DyAgSn: optimized geometry, PBE.

Cell and atoms, written as extended XYZ:
```
3
Lattice="-1.768 1.768 5.757 1.768 -1.768 5.757 1.768 1.768 -5.757" Properties=species:S:1:pos:R:3 pbc="T T T"
Dy 0.000 0.000 0.000
Ag 0.000 0.000 7.608
Sn 0.000 0.000 3.588
```

Results
As for the total energy: -4.1280 eV per atom. The magnetization comes out at 0.024 μB per formula unit. Its formation energy is -29.8 kJ/mol of atoms. As for the symmetry: I4mm.


Record 7
LiLa2Th: optimized geometry, PBE.

Cell and atoms, written as extended XYZ:
```
4
Lattice="5.979 0.000 0.000 0.000 5.979 0.000 0.000 0.000 3.604" Properties=species:S:1:pos:R:3 pbc="T T T"
Li 0.000 0.000 0.000
La 0.000 2.990 1.802
La 2.990 0.000 1.802
Th 2.990 2.990 0.000
```

Results
As for the total energy: -4.6669 eV per atom. The magnetization comes out at 0.000 μB per formula unit. The energy above the most stable polymorph in this dataset is 44 kJ/mol of formula units. Its formation energy is 12.6 kJ/mol of atoms. As for the symmetry: P4/mmm.


Record 8
Be2VPb: optimized geometry, PBE.

Cell and atoms, written as extended XYZ:
```
8
Lattice="-3.404 3.404 2.682 3.404 -3.404 2.682 3.404 3.404 -2.682" Properties=species:S:1:pos:R:3 pbc="T T T"
Be 5.106 1.590 -0.670
Be 1.590 1.702 0.670
Be -1.702 1.814 2.011
Be 1.814 1.702 3.352
V 0.000 0.000 0.000
V 0.000 3.404 1.341
Pb 3.404 0.000 1.341
Pb 0.000 0.000 2.682
```

Results
As for the total energy: -4.2276 eV per atom. The magnetization comes out at 0.628 μB per formula unit. Its formation energy is 81.3 kJ/mol of atoms. As for the symmetry: I-42d.


Record 9
CrCo8Ni5: optimized geometry, PBE.

Cell and atoms, written as extended XYZ:
```
14
Lattice="-3.497 3.497 3.329 3.497 -3.497 3.329 3.497 3.497 -3.329" Properties=species:S:1:pos:R:3 pbc="T T T"
Cr 0.000 0.000 0.000
Co 2.181 2.634 -1.730
Co 1.316 0.863 1.599
Co -0.480 2.440 0.594
Co 4.360 2.181 1.730
Co 0.480 4.554 0.594
Co 1.057 3.017 2.736
Co -0.863 1.316 5.060
Co -1.057 3.977 2.736
Ni 4.266 2.230 -0.620
Ni 3.497 0.000 1.665
Ni 2.230 2.728 0.620
Ni -0.769 1.267 2.710
Ni 1.267 0.769 3.949
```

Results
As for the total energy: -6.5265 eV per atom. The magnetization comes out at 12.672 μB per formula unit. Its formation energy is 27.6 kJ/mol of atoms. As for the symmetry: I-4.


Record 10
ZrSc4Br: optimized geometry, PBE.

Cell and atoms, written as extended XYZ:
```
6
Lattice="0.000 4.248 4.248 4.248 0.000 4.248 4.248 4.248 0.000" Properties=species:S:1:pos:R:3 pbc="T T T"
Zr 0.000 0.000 0.000
Sc 3.161 3.161 3.161
Sc 5.335 5.335 3.161
Sc 5.335 3.161 5.335
Sc 3.161 5.335 5.335
Br 6.372 6.372 6.372
```

Results
As for the total energy: -5.5576 eV per atom. The magnetization comes out at 1.030 μB per formula unit. The calculation puts the formation energy (no corrections) at 367 meV per atom. As for the symmetry: F-43m.


Record 11
K2LaRe2N6: optimized geometry, PBE.

Cell and atoms, written as extended XYZ:
```
11
Lattice="5.536 -3.199 0.000 5.536 3.199 0.000 -4.104 0.000 6.368" Properties=species:S:1:pos:R:3 pbc="T T T"
K 1.561 0.000 1.141
K 5.406 0.000 5.227
La -2.052 0.000 3.184
Re 1.821 0.000 5.071
Re 5.146 0.000 1.296
N 4.178 1.498 1.478
N 0.301 0.000 4.131
N 2.789 1.498 4.890
N 4.178 -1.498 1.478
N 6.666 0.000 2.237
N 2.789 -1.498 4.890
```

Results
As for the total energy: -7.7812 eV per atom. The magnetization comes out at 1.031 μB per formula unit. The calculation puts the formation energy (no corrections) at -329 meV per atom. As for the symmetry: C2/m.


Record 12
TlAg3Se3: optimized geometry, PBE.

Cell and atoms, written as extended XYZ:
```
14
Lattice="3.729 2.153 7.538 -3.729 2.153 7.538 0.000 -4.306 7.538" Properties=species:S:1:pos:R:3 pbc="T T T"
Tl 0.000 0.000 3.759
Tl 0.000 0.000 18.855
Ag -1.199 -2.116 8.381
Ag -2.432 -0.019 14.233
Ag -1.233 2.096 8.381
Ag 1.233 -2.096 14.233
Ag 2.432 0.019 8.381
Ag 1.199 2.116 14.233
Se -2.553 -0.026 9.437
Se -1.254 -2.224 13.177
Se 1.299 -2.199 9.437
Se -1.299 2.199 13.177
Se 1.254 2.224 9.437
Se 2.553 0.026 13.177
```

Results
As for the total energy: -3.1303 eV per atom. The magnetization comes out at 0.000 μB per formula unit. The calculation puts the formation energy (no corrections) at -77 meV per atom. The energy above the most stable polymorph in this dataset is 0 kJ/mol of formula units. As for the symmetry: R-3.


Record 13
BaLi2Sc: optimized geometry, PBE.

Cell and atoms, written as extended XYZ:
```
4
Lattice="3.751 0.000 0.000 0.000 3.751 0.000 0.000 0.000 8.438" Properties=species:S:1:pos:R:3 pbc="T T T"
Ba 0.000 0.000 0.000
Li 0.000 0.000 3.914
Li 1.875 1.875 2.598
Sc 1.875 1.875 5.681
```

Results
As for the total energy: -2.7890 eV per atom. The magnetization comes out at 0.756 μB per formula unit. The energy above the most stable polymorph in this dataset is 0 kJ/mol of formula units. Its formation energy is 22.3 kJ/mol of atoms. As for the symmetry: P4mm.


Record 14
RbCoMo2Au: optimized geometry, PBE.

Cell and atoms, written as extended XYZ:
```
5
Lattice="4.538 0.000 0.000 0.000 4.538 0.000 0.000 0.000 5.910" Properties=species:S:1:pos:R:3 pbc="T T T"
Rb 0.000 0.000 0.000
Co 0.000 0.000 2.955
Mo 0.000 2.269 2.955
Mo 2.269 0.000 2.955
Au 2.269 2.269 0.000
```

Results
As for the total energy: -5.0530 eV per atom. The magnetization comes out at 3.234 μB per formula unit. Its formation energy is 149.5 kJ/mol of atoms. As for the symmetry: P4/mmm.


Record 15
HoIn3Hg6: optimized geometry, PBE.

Cell and atoms, written as extended XYZ:
```
20
Lattice="11.157 0.000 0.000 0.000 3.732 0.000 -4.273 0.000 12.614" Properties=species:S:1:pos:R:3 pbc="T T T"
Ho 0.750 0.933 1.780
Ho 6.134 2.799 10.834
In -2.402 2.799 8.812
In 2.147 0.933 6.652
In 0.511 0.933 11.565
In 6.373 2.799 1.049
In 4.737 2.799 5.962
In 9.286 0.933 3.802
Hg -2.600 0.933 11.426
Hg -0.856 0.933 6.768
Hg 0.755 2.799 4.364
Hg 3.192 2.799 1.005
Hg 0.565 2.799 9.117
Hg 3.359 0.933 3.596
Hg 3.525 2.799 9.018
Hg 6.318 0.933 3.497
Hg 3.692 0.933 11.608
Hg 6.129 0.933 8.249
Hg 7.740 2.799 5.846
Hg 9.484 2.799 1.188
```

Results
As for the total energy: -1.5504 eV per atom. The magnetization comes out at 0.000 μB per formula unit. The energy above the most stable polymorph in this dataset is 17 kJ/mol of formula units. Its formation energy is -8.7 kJ/mol of atoms. As for the symmetry: P2_1/m.


Record 16
LiAcMnSb: optimized geometry, PBE.

Cell and atoms, written as extended XYZ:
```
4
Lattice="0.000 3.529 3.529 3.529 0.000 3.529 3.529 3.529 0.000" Properties=species:S:1:pos:R:3 pbc="T T T"
Li 0.000 0.000 0.000
Ac 1.764 1.764 1.764
Mn 3.529 3.529 3.529
Sb 5.293 5.293 5.293
```

Results
As for the total energy: -4.9323 eV per atom. The magnetization comes out at 2.514 μB per formula unit. The calculation puts the formation energy (no corrections) at -104 meV per atom. As for the symmetry: F-43m.


Record 17
Pu2SbPb: optimized geometry, PBE.

Cell and atoms, written as extended XYZ:
```
4
Lattice="2.096 1.210 8.298 -2.096 1.210 8.298 0.000 -2.420 8.298" Properties=species:S:1:pos:R:3 pbc="T T T"
Pu 0.000 0.000 6.073
Pu 0.000 0.000 18.822
Sb 0.000 0.000 12.448
Pb 0.000 0.000 0.000
```

Results
As for the total energy: -9.3162 eV per atom. The magnetization comes out at 10.750 μB per formula unit. The calculation puts the formation energy (no corrections) at -193 meV per atom. The energy above the most stable polymorph in this dataset is 70 kJ/mol of formula units. As for the symmetry: R-3m.


Record 18
Pa2Be2ZnCo5: optimized geometry, PBE.

Cell and atoms, written as extended XYZ:
```
20
Lattice="8.850 0.000 0.000 0.000 8.850 0.000 0.000 0.000 3.342" Properties=species:S:1:pos:R:3 pbc="T T T"
Pa 1.617 2.809 0.000
Pa 2.809 7.234 0.000
Pa 6.042 1.617 0.000
Pa 7.234 6.042 0.000
Be 0.992 5.417 0.000
Be 3.433 0.992 0.000
Be 5.417 7.858 0.000
Be 7.858 3.433 0.000
Zn 0.000 0.000 0.000
Zn 4.425 4.425 0.000
Co 0.000 4.425 1.671
Co 0.632 6.914 1.671
Co 1.936 0.632 1.671
Co 2.489 5.057 1.671
Co 3.793 2.489 1.671
Co 4.425 0.000 1.671
Co 5.057 6.361 1.671
Co 6.361 3.793 1.671
Co 6.914 8.218 1.671
Co 8.218 1.936 1.671
```

Results
As for the total energy: -6.6411 eV per atom. The magnetization comes out at 0.000 μB per formula unit. Its formation energy is -30.5 kJ/mol of atoms. As for the symmetry: P4/mbm.


Record 19
RbV2I2: optimized geometry, PBE.

Cell and atoms, written as extended XYZ:
```
10
Lattice="8.938 0.000 0.000 0.000 8.938 0.000 0.000 0.000 4.900" Properties=species:S:1:pos:R:3 pbc="T T T"
Rb 0.000 0.000 0.000
Rb 4.469 4.469 0.000
V 0.634 3.835 0.000
V 3.835 8.304 0.000
V 5.104 0.634 0.000
V 8.304 5.104 0.000
I 1.489 2.980 2.450
I 2.980 7.449 2.450
I 5.959 1.489 2.450
I 7.449 5.959 2.450
```

Results
As for the total energy: -4.2963 eV per atom. The magnetization comes out at 0.992 μB per formula unit. The calculation puts the formation energy (no corrections) at 165 meV per atom. The energy above the most stable polymorph in this dataset is 9 kJ/mol of formula units. As for the symmetry: P4/mbm.


Record 20
KPbI2: optimized geometry, PBE.

Cell and atoms, written as extended XYZ:
```
4
Lattice="2.525 1.458 10.138 -2.525 1.458 10.138 0.000 -2.915 10.138" Properties=species:S:1:pos:R:3 pbc="T T T"
K 0.000 0.000 0.000
Pb 0.000 0.000 15.208
I 0.000 0.000 3.426
I 0.000 0.000 26.989
```

Results
As for the total energy: -2.5033 eV per atom. The magnetization comes out at 0.000 μB per formula unit. The calculation puts the formation energy (no corrections) at -527 meV per atom. The energy above the most stable polymorph in this dataset is 42 kJ/mol of formula units. As for the symmetry: R-3m.


Record 21
Mg2AlIn: optimized geometry, PBE.

Cell and atoms, written as extended XYZ:
```
4
Lattice="4.984 -1.538 0.000 4.984 1.538 0.000 -1.127 0.000 5.708" Properties=species:S:1:pos:R:3 pbc="T T T"
Mg 2.180 0.000 1.364
Mg 6.661 0.000 4.344
Al 4.984 0.000 0.000
In -0.564 0.000 2.854
```

Results
As for the total energy: -2.4155 eV per atom. The magnetization comes out at 0.000 μB per formula unit. Its formation energy is 0.2 kJ/mol of atoms. As for the symmetry: C2/m.


Record 22
MgTaCr: optimized geometry, PBE.

Cell and atoms, written as extended XYZ:
```
3
Lattice="0.000 3.070 3.070 3.070 0.000 3.070 3.070 3.070 0.000" Properties=species:S:1:pos:R:3 pbc="T T T"
Mg 0.000 0.000 0.000
Ta 3.070 3.070 3.070
Cr 1.535 1.535 1.535
```

Results
As for the total energy: -6.6480 eV per atom. The magnetization comes out at 1.110 μB per formula unit. The energy above the most stable polymorph in this dataset is 202 kJ/mol of formula units. Its formation energy is 100.6 kJ/mol of atoms. As for the symmetry: F-43m.


Record 23
Tl2VBr: optimized geometry, PBE.

Cell and atoms, written as extended XYZ:
```
4
Lattice="0.000 3.840 3.840 3.840 0.000 3.840 3.840 3.840 0.000" Properties=species:S:1:pos:R:3 pbc="T T T"
Tl 1.920 1.920 1.920
Tl 5.759 5.759 5.759
V 0.000 0.000 0.000
Br 3.840 3.840 3.840
```

Results
As for the total energy: -3.3621 eV per atom. The magnetization comes out at 4.326 μB per formula unit. The calculation puts the formation energy (no corrections) at 519 meV per atom. As for the symmetry: Fm-3m.


Record 24
Sc4TlCu3: optimized geometry, PBE.

Cell and atoms, written as extended XYZ:
```
8
Lattice="2.369 1.368 7.781 -2.369 1.368 7.781 0.000 -2.735 7.781" Properties=species:S:1:pos:R:3 pbc="T T T"
Sc 0.000 0.000 2.726
Sc 0.000 0.000 8.607
Sc 0.000 0.000 14.735
Sc 0.000 0.000 20.616
Tl 0.000 0.000 11.671
Cu 0.000 0.000 0.000
Cu 0.000 0.000 5.829
Cu 0.000 0.000 17.513
```

Results
As for the total energy: -5.2482 eV per atom. The magnetization comes out at 0.000 μB per formula unit. Its formation energy is -24.2 kJ/mol of atoms. As for the symmetry: R-3m.


| no. | mass density (g cm⁻³) |
| --- | --- |
| 1 | 4.09 |
| 2 | 10.74 |
| 3 | 7.71 |
| 4 | 6.53 |
| 5 | 12.63 |
| 6 | 8.98 |
| 7 | 6.66 |
| 8 | 7.38 |
| 9 | 8.33 |
| 10 | 3.80 |
| 11 | 4.96 |
| 12 | 6.99 |
| 13 | 2.74 |
| 14 | 7.28 |
| 15 | 10.83 |
| 16 | 7.76 |
| 17 | 10.74 |
| 18 | 10.66 |
| 19 | 3.74 |
| 20 | 3.71 |
| 21 | 3.61 |
| 22 | 7.38 |
| 23 | 7.91 |
| 24 | 6.31 |